VASP calculation (GGA-PBE) on crystalline TlCdSn3 at its relaxed geometry.

Unit cell a=15.2644 b=6.5426 c=5.8349 alpha=90.00 beta=102.25 gamma=90.00
Space group C2/m (No. 12)
Asymmetric unit:
Tl (0.0723, 0.0000, 0.2872) [4 per cell]
Cd (0.0000, 0.5000, 0.0000) [2 per cell]
Cd (0.0000, 0.5000, 0.5000) [2 per cell]
Sn (0.1568, 0.2392, 0.8345) [8 per cell]
Sn (0.1894, 0.5000, 0.3897) [4 per cell]

Energy of formation from the pure elements: 0.052 eV/atom
Energy relative to the lowest polymorph listed for this composition: 0.0 meV per atom

=====

VASP calculation (GGA-PBE) on crystalline Er3Hf5Bi12 at its relaxed geometry.

Unit cell a=17.7472 b=17.7472 c=17.7472 alpha=90.00 beta=90.00 gamma=90.00
Space group Ia-3d (No. 230)
Asymmetric unit:
Er (0.0000, 0.2500, 0.1250) [24 per cell]
Hf (0.0000, 0.0000, 0.0000) [16 per cell]
Hf (0.0000, 0.2500, 0.3750) [24 per cell]
Bi (0.0281, 0.0769, 0.6492) [96 per cell]

Energy of formation from the pure elements: 0.119 eV/atom

=====

VASP calculation (GGA-PBE) on crystalline TaSnSb2Rh at its relaxed geometry.

Unit cell a=5.4302 b=5.4302 c=4.7565 alpha=90.00 beta=90.00 gamma=90.00
Space group P4/mmm (No. 123)
Asymmetric unit:
Ta (0.0000, 0.0000, 0.0000) [1 per cell]
Sn (0.5000, 0.5000, 0.5000) [1 per cell]
Sb (0.0000, 0.5000, 0.5000) [2 per cell]
Rh (0.5000, 0.5000, 0.0000) [1 per cell]

=====

VASP calculation (GGA-PBE) on crystalline ZrOsO2 at its relaxed geometry.

Unit cell a=4.0399 b=4.0399 c=12.8371 alpha=90.00 beta=90.00 gamma=90.00
Space group I-42d (No. 122)
Asymmetric unit:
Zr (0.0000, 0.0000, 0.0000) [4 per cell]
Os (0.0000, 0.0000, 0.5000) [4 per cell]
O (0.2338, 0.2500, 0.6250) [8 per cell]

Energy relative to the lowest polymorph listed for this composition: 209.5 meV per atom

=====

VASP calculation (GGA-PBE) on crystalline ZrSc2Cl at its relaxed geometry.

Unit cell a=3.3500 b=3.3500 c=26.9151 alpha=90.00 beta=90.00 gamma=120.00
Space group R-3m (No. 166, hexagonal axes)
Asymmetric unit:
Zr (0.0000, 0.0000, 0.0000) [3 per cell]
Sc (0.0000, 0.0000, 0.2421) [6 per cell]
Cl (0.0000, 0.0000, 0.5000) [3 per cell]

Energy relative to the lowest polymorph listed for this composition: 0.0 meV per atom

=====

VASP calculation (GGA-PBE) on crystalline CePuTl at its relaxed geometry.

Unit cell a=3.9088 b=3.9088 c=10.4759 alpha=90.00 beta=90.00 gamma=90.00
Space group I4mm (No. 107)
Asymmetric unit:
Ce (0.0000, 0.0000, 0.0000) [2 per cell]
Pu (0.0000, 0.0000, 0.6391) [2 per cell]
Tl (0.0000, 0.0000, 0.3175) [2 per cell]

Energy of formation from the pure elements: -0.074 eV/atom
Energy relative to the lowest polymorph listed for this composition: 0.0 meV per atom

=====

VASP calculation (GGA-PBE) on crystalline Ba8SrCa3 at its relaxed geometry.

Unit cell a=11.7759 b=11.7759 c=18.2854 alpha=90.00 beta=90.00 gamma=120.00
Space group R-3m (No. 166, hexagonal axes)
Asymmetric unit:
Ba (0.0000, 0.0000, 0.2324) [6 per cell]
Ba (0.0636, 0.5318, 0.2633) [18 per cell]
Sr (0.0000, 0.0000, 0.0000) [3 per cell]
Ca (0.0000, 0.5000, 0.5000) [9 per cell]

Energy of formation from the pure elements: 0.211 eV/atom

=====

VASP calculation (GGA-PBE) on crystalline LaCe2HoPb4 at its relaxed geometry.

Unit cell a=5.2837 b=5.2837 c=31.0285 alpha=90.00 beta=90.00 gamma=120.00
Space group R-3m (No. 166, hexagonal axes)
Asymmetric unit:
La (0.0000, 0.0000, 0.0000) [3 per cell]
Ce (0.0000, 0.0000, 0.2449) [6 per cell]
Ho (0.0000, 0.0000, 0.5000) [3 per cell]
Pb (0.0000, 0.0000, 0.1273) [6 per cell]
Pb (0.0000, 0.0000, 0.3784) [6 per cell]

Energy of formation from the pure elements: -0.403 eV/atom

=====

Quick rundown of calculated volume, same order as above: 28.5, 34.9, 28.1, 13.1, 21.8, 26.7, 61.0, 31.3 Å³ per atom
Quick rundown of uncorrected energy, same order as above: -3.01, -5.38, -4.73, -8.57, -6.40, -7.62, -1.71, -4.93 eV/atom